Record 1
VASP calculation (PBE) on a geometry-optimized Tb6Ge2BiSe3 structure.

The raw formation energy comes out at -1374 meV/atom. For the final energy, the calculation gives -5.653 eV per atom. The magnetic moment is 0.0 μB per formula unit.

a b c (Å): 4.206 8.435 9.384
angles (deg): 102.32 102.95 90.00
Atoms (fractional coordinates):
Se1 0.500 0.500 0.000
Bi1 0.500 0.000 0.000
Tb1 0.328 0.899 0.655
Tb2 0.672 0.101 0.345
Se2 0.164 0.834 0.328
Tb3 0.671 0.577 0.341
Tb4 0.329 0.423 0.659
Ge1 0.167 0.336 0.335
Se3 0.836 0.166 0.672
Ge2 0.833 0.664 0.665
Tb5 0.994 0.735 0.988
Tb6 0.006 0.265 0.012


Record 2
VASP calculation (PBE) on a geometry-optimized La2UPaN6 structure.

The raw formation energy comes out at -1401 meV/atom. For the final energy, the calculation gives -9.460 eV per atom. The magnetic moment is 0.0 μB per formula unit.

a b c (Å): 6.003 6.078 8.555
angles (deg): 90.00 90.17 90.00
Atoms (fractional coordinates):
N1 0.602 0.034 0.255
N2 0.398 0.966 0.745
U1 0.000 0.500 0.000
N3 0.296 0.710 0.445
La1 0.511 0.539 0.750
U2 0.500 0.000 0.500
N4 0.704 0.290 0.555
La2 0.489 0.461 0.250
La3 0.989 0.039 0.750
N5 0.216 0.199 0.447
Pa1 0.000 0.500 0.500
N6 0.716 0.301 0.947
N7 0.784 0.801 0.553
N8 0.898 0.534 0.245
N9 0.102 0.466 0.755
N10 0.284 0.699 0.053
La4 0.011 0.961 0.250
N11 0.204 0.210 0.055
Pa2 0.500 0.000 0.000
N12 0.796 0.790 0.945


Record 3
VASP calculation (PBE) on a geometry-optimized LiHo2Te3 structure.

The raw formation energy comes out at -1284 meV/atom. For the final energy, the calculation gives -4.700 eV per atom. The magnetic moment is 0.0 μB per formula unit.

a b c (Å): 4.283 6.124 7.479
angles (deg): 114.17 106.64 90.00
Atoms (fractional coordinates):
Te1 0.840 0.340 0.180
Te2 0.160 0.660 0.820
Li1 0.500 0.500 0.500
Ho1 0.832 0.832 0.164
Ho2 0.168 0.168 0.836
Te3 0.500 0.000 0.500


Record 4
VASP calculation (PBE) on a geometry-optimized TiP2O2 structure.

The raw formation energy comes out at -644 meV/atom. For the final energy, the calculation gives -6.370 eV per atom. The calculation puts the energy above the most stable polymorph in this dataset at 357 meV/atom. The magnetic moment is 0.9 μB per formula unit.

a b c (Å): 3.566 3.566 4.750
angles (deg): 90.00 90.00 90.00
Atoms (fractional coordinates):
P1 0.000 0.000 0.000
P2 0.000 0.000 0.500
Ti1 0.500 0.500 0.500
O1 0.500 0.000 0.000
O2 0.000 0.500 0.000


Record 5
VASP calculation (PBE) on a geometry-optimized NaYC structure.

For the final energy, the calculation gives -5.392 eV per atom. As for the energy of formation from the pure elements: 0.2765 eV/atom. The calculation puts the energy above the most stable polymorph in this dataset at 410 meV/atom. The magnetic moment is 0.0 μB per formula unit.

a b c (Å): 4.311 4.311 7.663
angles (deg): 73.66 73.66 60.00
Atoms (fractional coordinates):
C1 0.268 0.268 0.197
C2 0.732 0.732 0.803
Na1 0.864 0.864 0.407
Na2 0.136 0.136 0.593
Y1 0.382 0.382 0.855
Y2 0.618 0.618 0.145


Record 6
VASP calculation (PBE) on a geometry-optimized Ba2NaSrCd structure.

For the final energy, the calculation gives -1.555 eV per atom. As for the energy of formation from the pure elements: -0.0031 eV/atom. The calculation puts the energy above the most stable polymorph in this dataset at 0 meV/atom. The magnetic moment is 0.0 μB per formula unit.

a b c (Å): 6.702 6.702 6.497
angles (deg): 90.00 90.00 90.00
Atoms (fractional coordinates):
Ba1 0.000 0.500 0.000
Ba2 0.500 0.000 0.000
Sr1 0.000 0.000 0.500
Na1 0.500 0.500 0.500
Cd1 0.000 0.000 0.000


Record 7
VASP calculation (PBE) on a geometry-optimized La2EuDy structure.

For the final energy, the calculation gives -6.069 eV per atom. As for the energy of formation from the pure elements: 0.1137 eV/atom. The calculation puts the energy above the most stable polymorph in this dataset at 74 meV/atom. The magnetic moment is 7.8 μB per formula unit.

a b c (Å): 5.920 5.920 5.920
angles (deg): 60.00 60.00 60.00
Atoms (fractional coordinates):
Eu1 0.500 0.500 0.500
La1 0.250 0.250 0.250
Dy1 0.000 0.000 0.000
La2 0.750 0.750 0.750


Record 8
VASP calculation (PBE) on a geometry-optimized Y2Be4Pt5 structure.

For the final energy, the calculation gives -6.190 eV per atom. As for the energy of formation from the pure elements: -0.9135 eV/atom. The magnetic moment is 0.0 μB per formula unit.

a b c (Å): 5.503 5.408 7.330
angles (deg): 78.99 67.95 59.42
Atoms (fractional coordinates):
Be1 0.532 0.678 0.258
Be2 0.468 0.322 0.742
Pt1 0.500 0.500 0.000
Pt2 0.500 0.000 0.000
Pt3 0.750 0.500 0.500
Y1 0.869 0.000 0.262
Pt4 0.000 0.500 0.000
Be3 0.790 0.678 0.742
Be4 0.210 0.322 0.258
Pt5 0.250 0.500 0.500
Y2 0.131 0.000 0.738


Record 9
VASP calculation (PBE) on a geometry-optimized ZrB structure.

For the final energy, the calculation gives -7.958 eV per atom. As for the energy of formation from the pure elements: -0.3457 eV/atom. The magnetic moment is 0.0 μB per formula unit.

a b c (Å): 3.193 3.193 6.566
angles (deg): 90.00 90.00 120.00
Atoms (fractional coordinates):
Zr1 0.667 0.333 0.129
Zr2 0.333 0.667 0.544
B1 0.000 0.000 0.821
B2 0.667 0.333 0.781


Record 10
VASP calculation (PBE) on a geometry-optimized KInIr2 structure.

For the final energy, the calculation gives -4.911 eV per atom. As for the energy of formation from the pure elements: 0.4785 eV/atom. The magnetic moment is 0.0 μB per formula unit.

a b c (Å): 6.376 6.376 6.376
angles (deg): 154.54 130.68 56.31
Atoms (fractional coordinates):
K1 0.507 0.507 0.000
In1 0.207 0.707 0.500
Ir1 0.988 0.988 0.000
Ir2 0.798 0.298 0.500


Record 11
VASP calculation (PBE) on a geometry-optimized LiRh3 structure.

For the final energy, the calculation gives -6.022 eV per atom. As for the energy of formation from the pure elements: -0.0303 eV/atom. The magnetic moment is 0.5 μB per formula unit.

a b c (Å): 5.365 5.365 4.345
angles (deg): 90.00 90.00 120.00
Atoms (fractional coordinates):
Rh1 0.830 0.170 0.250
Rh2 0.340 0.170 0.250
Li1 0.667 0.333 0.750
Rh3 0.830 0.660 0.250
Rh4 0.170 0.340 0.750
Li2 0.333 0.667 0.250
Rh5 0.660 0.830 0.750
Rh6 0.170 0.830 0.750


Record 12
VASP calculation (PBE) on a geometry-optimized PaInGe structure.

For the final energy, the calculation gives -5.652 eV per atom. As for the energy of formation from the pure elements: -0.0347 eV/atom. The calculation puts the energy above the most stable polymorph in this dataset at 186 meV/atom. The magnetic moment is 1.0 μB per formula unit.

a b c (Å): 3.125 5.017 5.017
angles (deg): 120.00 90.00 90.00
Atoms (fractional coordinates):
Ge1 0.834 0.000 0.000
In1 0.833 0.333 0.667
Pa1 0.333 0.667 0.333